Sc2HgRu: optimized geometry, PBE-GGA.

Electronic total energy ... -5.86 eV/atom
ΔH_f (0 K) ... -0.303 eV per atom
Crystal system ... monoclinic
Density ... 8.3 g/cm³

The structure in extended XYZ format:
```
4
Lattice="-1.6337 3.8558 3.5324 -3.8158 1.4087 3.6702 1.6133 -1.1922 4.3760" Properties=species:S:1:pos:R:3 pbc="T T T"
Ru -2.7528 2.9593 8.9659
Hg -1.8726 1.9810 5.5292
Sc 1.3587 -0.9706 4.2795
Sc -0.8742 0.9466 2.9692
```

---

ScHgRu2: optimized geometry, PBE-GGA.

Electronic total energy ... -5.91 eV/atom
ΔH_f (0 K) ... 0.382 eV per atom
Crystal system ... tetragonal
Density ... 9.7 g/cm³

The structure in extended XYZ format:
```
8
Lattice="4.0536 0.0000 0.0000 0.0000 4.0536 0.0000 2.0268 2.0268 9.3450" Properties=species:S:1:pos:R:3 pbc="T T T"
Ru 3.0402 3.3473 7.0087
Ru 1.3205 3.0402 2.3362
Ru 5.0670 4.7599 7.0087
Ru 2.7331 1.0134 2.3362
Sc 2.0268 4.0536 4.6725
Sc 2.0268 2.0268 0.0000
Hg 0.0000 0.0000 0.0000
Hg 4.0536 2.0268 4.6725
```

---

TbScHgRu: optimized geometry, PBE-GGA.

Electronic total energy ... -5.64 eV/atom
ΔH_f (0 K) ... -0.505 eV per atom
Crystal system ... tetragonal
Density ... 10.0 g/cm³

The structure in extended XYZ format:
```
4
Lattice="3.3924 0.0000 0.0000 0.0000 3.3924 0.0000 0.0000 0.0000 7.3003" Properties=species:S:1:pos:R:3 pbc="T T T"
Ru 0.0000 0.0000 4.0187
Sc 1.6962 1.6962 2.5571
Tb 1.6962 1.6962 5.7663
Hg 0.0000 0.0000 0.6867
```

---

TbScHgRu: optimized geometry, PBE-GGA.

Electronic total energy ... -5.49 eV/atom
ΔH_f (0 K) ... -0.356 eV per atom
Crystal system ... cubic
Density ... 10.0 g/cm³

The structure in extended XYZ format:
```
4
Lattice="4.9100 0.0000 0.0000 2.4550 4.2522 0.0000 2.4550 1.4174 4.0090" Properties=species:S:1:pos:R:3 pbc="T T T"
Hg 2.4550 1.4174 1.0022
Ru 7.3650 4.2522 3.0067
Sc 4.9100 2.8348 2.0045
Tb 0.0000 0.0000 0.0000
```

---

ScHgTe2Ru: optimized geometry, PBE-GGA.

Electronic total energy ... -3.74 eV/atom
Raw formation energy ... 0.69 eV per atom
Crystal system ... tetragonal
Density ... 6.1 g/cm³

The structure in extended XYZ format:
```
5
Lattice="-4.6457 2.7105 1.1799 -1.9078 -4.3833 2.5575 2.2325 1.7763 4.7098" Properties=species:S:1:pos:R:3 pbc="T T T"
Hg -0.9539 -2.1916 1.2787
Te 1.1163 0.8881 2.3549
Te -2.3228 1.3552 0.5900
Ru -2.1605 0.0517 4.2236
Sc 0.0000 0.0000 0.0000
```

---

TmScHgRu: optimized geometry, PBE-GGA.

Electronic total energy ... -5.65 eV/atom
ΔH_f (0 K) ... -0.550 eV per atom
Crystal system ... tetragonal
Density ... 10.5 g/cm³

The structure in extended XYZ format:
```
4
Lattice="3.3664 0.0000 0.0000 0.0000 3.3664 0.0000 0.0000 0.0000 7.2154" Properties=species:S:1:pos:R:3 pbc="T T T"
Hg 0.0000 0.0000 0.6288
Ru 0.0000 0.0000 4.0150
Tm 1.6832 1.6832 5.7017
Sc 1.6832 1.6832 2.5318
```

---

Repeat the sixth record exactly.
TmScHgRu: optimized geometry, PBE-GGA.

Electronic total energy ... -5.65 eV/atom
ΔH_f (0 K) ... -0.550 eV per atom
Crystal system ... tetragonal
Density ... 10.5 g/cm³

The structure in extended XYZ format:
```
4
Lattice="3.3664 0.0000 0.0000 0.0000 3.3664 0.0000 0.0000 0.0000 7.2154" Properties=species:S:1:pos:R:3 pbc="T T T"
Hg 0.0000 0.0000 0.6288
Ru 0.0000 0.0000 4.0150
Tm 1.6832 1.6832 5.7017
Sc 1.6832 1.6832 2.5318
```